Entry from Alexandria: a relaxed structure of SbH6Ir2Pd (GGA-PBE).

abc: 7.9900 11.2268 5.4125
angles: 90.00 111.75 90.00
Space group C2/c (No. 15)
One atom of each set of equivalent atoms:
Sb1 0.0000 0.1678 0.2500
H1 0.1143 0.4246 0.8880
H2 0.1872 0.1840 0.8519
H3 0.2250 0.4579 0.2571
Ir1 0.1641 0.0514 0.9808
Pd1 0.0000 0.2850 0.7500

Values from the calculation:
D(E_F) in states/eV per cell: 8.66
Final energy in eV per atom: -4.673
Magnetic moment in μB per atom: 0.0000